Record 1
This record from the Alexandria database describes an optimized crystal structure of YTmHf2. The functional is PBE.

Values from the calculation:
Crystal system: tetragonal
Space group: P4/mmm (123)

abc: 4.7926 4.6407 4.6407
angles: 90.00 90.00 90.00
Last column: nearest neighbours and their distance in Å.
Atoms (fractional coordinates):
Tm: 0.5000 0.0000 0.0000  4 Y 3.28, 8 Hf 3.34
Hf: 0.0000 0.5000 0.0000  4 Hf 3.28, 4 Tm 3.34, 4 Y 3.34
Hf: 0.0000 0.0000 0.5000  4 Hf 3.28, 4 Tm 3.34, 4 Y 3.34
Y: 0.5000 0.5000 0.5000  4 Tm 3.28, 8 Hf 3.34

***

Record 2
This record from the Alexandria database describes an optimized crystal structure of YTmHf. The functional is PBE.

Values from the calculation:
Crystal system: orthorhombic
Space group: Pmmn (59)

abc: 4.6774 3.3790 11.0081
angles: 107.84 90.00 90.00
Last column: nearest neighbours and their distance in Å.
Atoms (fractional coordinates):
Y: 0.8469 0.1517 0.3185  6 Y 3.38-3.48, 4 Tm 3.44, 1 Hf 3.54
Y: 0.3469 0.8379 0.5050  6 Y 3.38-3.48, 4 Tm 3.44, 1 Hf 3.54
Hf: 0.3468 0.1763 0.8428  5 Tm 3.11-3.33, 6 Hf 3.23-3.38
Hf: 0.8468 0.8139 0.9807  5 Tm 3.11-3.33, 6 Hf 3.23-3.38
Tm: 0.8469 0.5177 0.6844  5 Hf 3.11-3.33, 2 Tm 3.38, 4 Y 3.44
Tm: 0.3469 0.4721 0.1392  5 Hf 3.11-3.33, 2 Tm 3.38, 4 Y 3.44

***

Record 3
This record from the Alexandria database describes an optimized crystal structure of YTm2Hf. The functional is PBE.

Values from the calculation:
Crystal system: tetragonal
Space group: P4/mmm (123)

abc: 3.9268 3.9268 7.3957
angles: 90.00 90.00 90.00
Last column: nearest neighbours and their distance in Å.
Atoms (fractional coordinates):
Hf: 0.5000 0.5000 0.0000  8 Tm 3.22
Y: 0.5000 0.5000 0.5000  8 Tm 3.47, 2 Hf 3.70
Tm: 0.0000 0.0000 0.7808  4 Hf 3.22, 1 Tm 3.24, 4 Y 3.47
Tm: 0.0000 0.0000 0.2192  4 Hf 3.22, 1 Tm 3.24, 4 Y 3.47

***

Record 4
This record from the Alexandria database describes an optimized crystal structure of Y2TmHf. The functional is PBE.

Values from the calculation:
Crystal system: trigonal
Space group: R3m (160)

abc: 3.4418 3.4418 11.3280
angles: 81.26 81.26 60.00
Last column: nearest neighbours and their distance in Å.
Atoms (fractional coordinates):
Tm: 0.5002 0.5002 0.4994  6 Tm 3.44, 6 Y 3.54-3.56
Y: 0.2546 0.2546 0.2363  3 Hf 3.29, 6 Y 3.44, 3 Tm 3.54
Y: 0.0788 0.0788 0.7637  3 Hf 3.31, 6 Y 3.44, 3 Tm 3.56
Hf: 0.6665 0.6665 0.0006  6 Y 3.29-3.31, 6 Hf 3.44

***

The evaluated formation energy for the records listed, in turn: 0.19 0.12 0.21 0.12 eV/atom.